Entry from the Alexandria database: crystalline Pm5DyTl8 at its relaxed geometry (GGA-PBE).

Formation energy: -287 meV per atom
Volume: 839 Å³/cell

```
data_Pm5DyTl8
_chemical_formula_sum 'Pm10 Dy2 Tl16'
_symmetry_space_group_name_H-M 'I -4'
_symmetry_Int_Tables_number 82
_cell_length_a 9.4693
_cell_length_b 9.4693
_cell_length_c 9.3549
_cell_angle_alpha 90.00
_cell_angle_beta 90.00
_cell_angle_gamma 90.00
loop_
_symmetry_equiv_pos_as_xyz
'x,y,z'
'y,-x,-z'
'-x,-y,z'
'-y,x,-z'
'x+1/2,y+1/2,z+1/2'
'y+1/2,-x+1/2,-z+1/2'
'-x+1/2,-y+1/2,z+1/2'
'-y+1/2,x+1/2,-z+1/2'
loop_
_atom_site_label
_atom_site_type_symbol
_atom_site_fract_x
_atom_site_fract_y
_atom_site_fract_z
_atom_site_occupancy
Pm1 Pm 0.0000 0.0000 0.0000 1
Pm2 Pm 0.1208 0.7541 0.3735 1
Dy1 Dy 0.0000 0.5000 0.7500 1
Tl1 Tl 0.0784 0.6668 0.0380 1
Tl2 Tl 0.0848 0.8251 0.7101 1
```